This record from the Alexandria database describes crystalline MoIrOs4 at its relaxed geometry. The functional is GGA-PBE.

abc: 5.0923 5.0923 5.0923
angles: 60.00 60.00 60.00
Fractional positions:
Mo1 0.0000 0.0000 0.0000
Ir1 0.7500 0.7500 0.7500
Os1 0.8733 0.3756 0.3756
Os2 0.3756 0.3756 0.8733
Os3 0.3756 0.8733 0.3756
Os4 0.3756 0.3756 0.3756

As for the relative energy among the computed polymorphs: 647 meV/atom. The value obtained for the density of states at the Fermi level is 10.33 states/eV/cell.